Entry 1:
Density functional theory data (PBE) for a relaxed structure of AgIrSe.

Lattice parameters (Å, degrees): 4.307 4.307 3.287 90.00 90.00 120.00
Atoms (fractional coordinates):
1 Ag 0.000 0.000 0.000
2 Ir 0.667 0.333 0.500
3 Se 0.333 0.667 0.500

Output
The calculation puts the density at 11.916 g/cm³. The space-group type is P-6m2, No. 187. The calculation puts the total energy at -4.683 eV/atom.

Entry 2:
Density functional theory data (PBE) for a relaxed structure of SrHg2Ir.

Lattice parameters (Å, degrees): 4.685 4.685 6.012 67.12 67.12 59.97
Atoms (fractional coordinates):
1 Hg 0.035 0.035 0.895
2 Hg 0.465 0.465 0.605
3 Ir 0.750 0.750 0.750
4 Sr 0.250 0.250 0.250

Output
For the formation energy, the calculation gives -49 meV per atom. The calculation puts the density at 11.080 g/cm³. The space-group type is R-3m, No. 166. The calculation puts the total energy at -2.835 eV/atom.

Entry 3:
Density functional theory data (PBE) for a relaxed structure of Dy5Hg2Se2.

Lattice parameters (Å, degrees): 8.022 7.676 8.440 117.05 90.00 90.00
Atoms (fractional coordinates):
1 Dy 0.000 0.000 0.000
2 Dy 0.500 0.500 0.000
3 Dy 0.836 0.802 0.266
4 Dy 0.164 0.464 0.266
5 Dy 0.336 0.964 0.266
6 Dy 0.664 0.302 0.266
7 Dy 0.164 0.198 0.734
8 Dy 0.836 0.536 0.734
9 Dy 0.664 0.036 0.734
10 Dy 0.336 0.698 0.734
11 Hg 0.000 0.206 0.413
12 Hg 0.500 0.706 0.413
13 Hg 0.000 0.794 0.587
14 Hg 0.500 0.294 0.587
15 Se 0.648 0.860 0.000
16 Se 0.352 0.140 0.000
17 Se 0.148 0.640 0.000
18 Se 0.852 0.360 0.000

Output
The calculation puts the density at 9.841 g/cm³. The space-group type is Cmce, No. 64. The calculation puts the total energy at -4.252 eV/atom.

Number 3 is which compound? Dy5Hg2Se2

Please write out number 3 again, unchanged.
Density functional theory data (PBE) for a relaxed structure of Dy5Hg2Se2.

Lattice parameters (Å, degrees): 8.022 7.676 8.440 117.05 90.00 90.00
Atoms (fractional coordinates):
1 Dy 0.000 0.000 0.000
2 Dy 0.500 0.500 0.000
3 Dy 0.836 0.802 0.266
4 Dy 0.164 0.464 0.266
5 Dy 0.336 0.964 0.266
6 Dy 0.664 0.302 0.266
7 Dy 0.164 0.198 0.734
8 Dy 0.836 0.536 0.734
9 Dy 0.664 0.036 0.734
10 Dy 0.336 0.698 0.734
11 Hg 0.000 0.206 0.413
12 Hg 0.500 0.706 0.413
13 Hg 0.000 0.794 0.587
14 Hg 0.500 0.294 0.587
15 Se 0.648 0.860 0.000
16 Se 0.352 0.140 0.000
17 Se 0.148 0.640 0.000
18 Se 0.852 0.360 0.000

Output
The calculation puts the density at 9.841 g/cm³. The space-group type is Cmce, No. 64. The calculation puts the total energy at -4.252 eV/atom.

What is the density in the second record? 11.080 g/cm³